Here is a relaxed ErMgW crystal from the Open Quantum Materials Database. Energies are from PBE-GGA.

Results
DFT total energy	-58.01	eV per cell
space group	F-43m (216)

Cell: 6.834 6.834 6.834 Å, 90.00 90.00 90.00°
Element x y z (fractional)
Er (0.000, 0.000, 0.000)
Er (0.000, 0.500, 0.500)
Er (0.500, 0.000, 0.500)
Er (0.500, 0.500, 0.000)
Mg (0.250, 0.250, 0.750)
Mg (0.250, 0.750, 0.250)
Mg (0.750, 0.250, 0.250)
Mg (0.750, 0.750, 0.750)
W (0.250, 0.250, 0.250)
W (0.250, 0.750, 0.750)
W (0.750, 0.250, 0.750)
W (0.750, 0.750, 0.250)

Here is a relaxed Y2ErMg crystal from the Open Quantum Materials Database. Energies are from PBE-GGA.

Results
offset from the most stable computed form	0.16	eV/f.u.
space group	Amm2 (38)

Cell: 5.564 7.087 12.088 Å, 90.00 90.00 90.00°
Element x y z (fractional)
Y (0.000, 0.000, 0.000)
Y (0.000, 0.250, 0.251)
Y (0.000, 0.250, 0.751)
Y (0.000, 0.500, 0.500)
Y (0.000, 0.750, 0.251)
Y (0.000, 0.750, 0.751)
Y (0.500, 0.000, 0.671)
Y (0.500, 0.500, 0.171)
Er (0.000, 0.000, 0.499)
Er (0.000, 0.500, 0.999)
Er (0.500, 0.000, 0.174)
Er (0.500, 0.500, 0.674)
Mg (0.500, 0.249, 0.418)
Mg (0.500, 0.251, 0.918)
Mg (0.500, 0.749, 0.918)
Mg (0.500, 0.751, 0.418)

Here is a relaxed YEr2Mg5 crystal from the Open Quantum Materials Database. Energies are from PBE-GGA.

Results
DFT total energy	-47.62	eV per cell
space group	Amm2 (38)

Cell: 5.199 7.555 10.551 Å, 90.00 90.00 90.00°
Element x y z (fractional)
Y (0.000, 0.000, 0.000)
Y (0.000, 0.500, 0.500)
Er (0.000, 0.000, 0.487)
Er (0.000, 0.500, 0.987)
Er (0.500, 0.000, 0.738)
Er (0.500, 0.500, 0.238)
Mg (0.000, 0.246, 0.244)
Mg (0.000, 0.254, 0.744)
Mg (0.000, 0.746, 0.744)
Mg (0.000, 0.754, 0.244)
Mg (0.500, 0.000, 0.239)
Mg (0.500, 0.248, 0.488)
Mg (0.500, 0.252, 0.988)
Mg (0.500, 0.500, 0.739)
Mg (0.500, 0.748, 0.988)
Mg (0.500, 0.752, 0.488)

Here is a relaxed YErMg4 crystal from the Open Quantum Materials Database. Energies are from PBE-GGA.

Results
DFT total energy	-17.61	eV per cell
space group	P2/m (10)

Cell: 3.296 5.213 9.025 Å, 90.00 90.00 90.00°
Element x y z (fractional)
Y (0.000, 0.000, 0.000)
Er (0.000, 0.500, 0.500)
Mg (0.496, 0.000, 0.666)
Mg (0.496, 0.500, 0.168)
Mg (0.504, 0.000, 0.334)
Mg (0.504, 0.500, 0.832)